(1)
## VCuSiAu2 (PBE)

Data for a relaxed VCuSiAu2 crystal.

Summary:
For the uncorrected formation energy, the calculation gives 1.029 eV per atom. The value obtained for the uncorrected energy is -20.05 eV/cell. Its density of states at the Fermi level is 0.785 states/eV per atom. Its crystal system is tetragonal.

```
VCuSiAu2
1.0
4.8764 0.0000 0.0000
0.0000 4.5947 0.0000
0.0000 0.0000 4.8764
Au V Si Cu
2 1 1 1
Cartesian
0.0000 0.0000 2.4382
2.4382 0.0000 0.0000
0.0000 0.0000 0.0000
0.0000 2.2973 0.0000
2.4382 2.2973 2.4382
```



(2)
## YCuSi2Au (PBE)

Data for a relaxed YCuSi2Au crystal.

Summary:
For the uncorrected formation energy, the calculation gives -0.583 eV per atom. The value obtained for the uncorrected energy is -27.60 eV/cell. Its density of states at the Fermi level is 0.335 states/eV per atom. Its crystal system is tetragonal.

```
YCuSi2Au
1.0
-2.7954 2.4324 1.7887
-1.7960 -3.2991 1.6795
5.3118 0.8810 2.3707
Au Si Y Cu
1 2 1 1
Cartesian
0.6100 -1.4257 2.8921
2.3314 0.3460 3.1729
-1.6110 -0.3317 2.6660
0.0000 0.0000 0.0000
0.1104 1.4400 2.9467
```



| no. | total moment (μB per cell) |
| --- | --- |
| 1 | 1.2 |
| 2 | 0.0 |